P) The following is a DFT calculation (PBE) of LaTbO after structural relaxation.

POSCAR file:
```
LaTbO
1.0
-3.3329 1.3268 0.6088
2.1839 -0.7885 2.8014
2.2458 5.7076 -0.1442
Tb O La
1 1 1
Cartesian
1.5739 3.0398 1.9916
-0.6898 2.6654 1.2880
0.2127 0.5407 -0.0137
```

Summary:
The value obtained for the spin magnetization is 0.1 μB/f.u. As for the space-group type: P3m1, No. 156. The mass density is 7.41 g/cm³.

Q) The following is a DFT calculation (PBE) of LaTbO after structural relaxation.

POSCAR file:
```
LaTbO
1.0
5.2319 0.0000 0.0000
-2.6159 5.9067 -0.7185
0.0000 -2.6794 9.0566
O La Tb
4 4 4
Cartesian
0.0000 -1.1678 8.2719
0.0000 0.1719 3.7436
2.6159 4.3951 0.0662
2.6159 3.0553 4.5945
2.6160 -0.8551 8.3640
0.0000 2.7426 4.5024
0.0000 4.0823 -0.0260
2.6159 0.4847 3.8357
0.0000 -0.5043 6.0057
2.6159 2.3918 6.8607
2.6160 3.7316 2.3324
0.0000 0.8355 1.4773
```

Summary:
The value obtained for the spin magnetization is 0.0 μB/f.u. As for the space-group type: Imma, No. 74. The mass density is 7.73 g/cm³.

Which is most stable, and by how much? Q), by 122 meV/atom.

P) The following is a DFT calculation (PBE) of LaTb2O after structural relaxation.

POSCAR file:
```
LaTb2O
1.0
3.2003 0.0000 0.0000
0.0000 3.2003 0.0000
0.0000 0.0000 9.0677
O Tb La
1 2 1
Cartesian
1.6002 1.6002 0.0000
0.0000 0.0000 1.5367
0.0000 0.0000 7.5311
1.6002 1.6002 4.5339
```

Summary:
The value obtained for the spin magnetization is 0.0 μB/f.u. As for the space-group type: P4/mmm, No. 123. The mass density is 8.45 g/cm³.

Q) The following is a DFT calculation (PBE) of LaTb2O after structural relaxation.

POSCAR file:
```
LaTb2O
1.0
-0.9133 3.3764 0.1775
-2.9702 0.9285 1.6067
3.4381 2.2808 8.8550
Tb O La
2 1 1
Cartesian
1.7296 1.9754 5.8730
-2.1750 4.6102 4.7662
-0.2227 3.2928 5.3196
0.0000 0.0000 0.0000
```

Summary:
The value obtained for the spin magnetization is 0.0 μB/f.u. As for the space-group type: R-3m, No. 166. The mass density is 7.73 g/cm³.

Which is most stable, and by how much? Q), by 434 meV/atom.

P) The following is a DFT calculation (PBE) of LaTcO4 after structural relaxation.

POSCAR file:
```
LaTcO4
1.0
5.1010 0.0000 0.0000
0.0000 5.5913 0.2182
-2.5505 -1.9762 5.4411
O Tc La
8 2 2
Cartesian
-0.1918 3.0743 2.1171
2.7423 0.5408 3.5422
2.0408 2.1541 1.1465
2.3587 3.3365 3.6513
0.5097 1.4610 4.5129
0.1918 0.2787 2.0080
3.0602 4.9498 1.2556
-0.5097 -1.3346 4.4038
-1.2752 -0.9881 2.7206
1.2752 1.8076 2.8297
1.1549 4.1935 0.1636
3.9461 1.3978 0.0545
```

Summary:
The value obtained for the spin magnetization is 1.7 μB/f.u. As for the space-group type: C2/c, No. 15. The mass density is 6.35 g/cm³.

Q) The following is a DFT calculation (PBE) of LaTcO4 after structural relaxation.

POSCAR file:
```
LaTcO4
1.0
6.3246 0.6533 0.0000
-0.1573 7.3876 0.0000
0.0000 0.0000 7.0420
Tc La O
4 4 16
Cartesian
1.4039 6.1158 2.6661
1.5225 5.2923 6.1871
4.6448 2.7487 0.8549
4.7634 1.9251 4.3759
4.7677 6.7906 0.6836
1.6841 2.7702 2.8374
1.3996 1.2503 6.3584
4.4833 5.2708 4.2046
-0.0332 4.8872 2.5353
0.0413 1.7255 1.4015
3.1250 5.7460 2.1195
3.2078 1.5201 0.9857
1.6105 3.7586 0.0966
2.9596 6.5209 6.0563
4.1536 3.2197 2.7464
3.0423 2.2949 4.9225
6.2005 3.1537 4.5066
5.2546 1.4541 6.2674
4.6942 7.7791 3.4243
1.4731 0.2619 3.6176
4.5568 4.2823 6.9453
2.0137 4.8213 4.2955
6.1260 6.3154 5.6405
0.9127 6.5868 0.7745
```

Summary:
The value obtained for the spin magnetization is 2.0 μB/f.u. As for the space-group type: P2_1/c, No. 14. The mass density is 6.06 g/cm³.

Which is most stable, and by how much? Q), by 54 meV/atom.

P) The following is a DFT calculation (PBE) of La2Te2O after structural relaxation.

POSCAR file:
```
La2Te2O
1.0
5.8217 0.0000 2.4845
1.6232 6.5942 4.2594
0.0445 0.9595 7.9585
O La Te
2 4 4
Cartesian
2.2893 3.7769 6.7301
5.2001 3.7769 7.9724
5.9473 3.4703 10.2531
3.6283 5.5830 7.6239
1.5421 4.0835 4.4494
3.8610 1.9708 7.0786
6.5640 6.7574 8.8079
0.9253 0.7964 5.8946
2.6085 3.0288 10.0134
4.8808 4.5250 4.6891
```

Summary:
The value obtained for the spin magnetization is 0.0 μB/f.u. As for the space-group type: Ibam, No. 72. The mass density is 6.40 g/cm³.

Q) The following is a DFT calculation (PBE) of La2Te2O after structural relaxation.

POSCAR file:
```
La2Te2O
1.0
-2.3065 -3.1210 1.8069
6.1495 -5.0470 -0.8676
4.2730 3.9635 7.2295
Te La O
4 4 2
Cartesian
2.0387 -1.3415 0.2853
4.9961 -1.9698 2.9752
6.6629 -3.3436 7.8009
1.2095 -0.6667 5.4632
6.9677 -4.2031 1.6344
3.3300 1.4495 6.7544
3.1134 -4.2813 1.6503
3.9544 -2.3044 6.1385
4.7209 -0.0923 5.8669
5.0075 -5.4356 2.0744
```

Summary:
The value obtained for the spin magnetization is 0.0 μB/f.u. As for the space-group type: Cmc2_1, No. 36. The mass density is 5.89 g/cm³.

Which is most stable, and by how much? P), by 40 meV/atom.

P) The following is a DFT calculation (PBE) of La2TeO6 after structural relaxation.

POSCAR file:
```
La2TeO6
1.0
-0.2835 -2.3810 4.6025
-1.3602 -4.4136 -2.3670
10.2454 -2.7367 -0.7846
O La Te
12 4 2
Cartesian
2.5900 -5.6014 1.2335
0.9412 -3.1227 3.2485
8.3524 -5.1024 2.6809
-1.2048 -4.9800 1.6385
4.5884 -4.2228 2.5867
-0.4390 -1.8145 0.5970
7.6606 -6.4085 -1.7976
5.4242 -6.3584 1.0164
4.0133 -5.3085 -1.1358
0.2493 -4.4289 -1.2300
6.0117 -3.9299 0.2174
3.1775 -3.1728 0.4345
3.4299 -0.9162 -0.2627
7.7307 -5.6818 0.4628
0.8710 -3.8495 0.9881
6.8156 -1.8205 -0.5220
4.3009 -4.7656 0.7255
0.0000 0.0000 0.0000
```

Summary:
The value obtained for the spin magnetization is 0.0 μB/f.u. As for the space-group type: P4_2/mnm, No. 136. The mass density is 5.81 g/cm³.

Q) The following is a DFT calculation (PBE) of La2TeO6 after structural relaxation.

POSCAR file:
```
La2TeO6
1.0
5.5539 0.0000 0.0000
0.0000 9.5487 0.0000
0.0000 0.0000 10.4794
O La Te
24 8 4
Cartesian
4.1983 3.9685 5.1536
3.7605 6.0692 7.8224
4.5702 3.4795 2.5827
4.4484 3.4673 8.6404
0.4075 6.1960 4.9918
2.3694 3.3527 10.2315
1.1055 8.2417 7.0788
4.0000 1.0662 5.9151
1.3555 8.7429 0.0861
0.9356 5.2753 2.2761
1.8413 4.2734 7.5158
1.4214 0.8059 5.3258
3.7126 9.0478 8.2033
3.1844 8.1271 5.4877
4.1325 5.5802 10.3933
1.5539 5.8406 9.8040
1.2231 3.7081 4.5643
3.8824 6.0814 3.4007
1.7933 1.2948 7.8968
0.9836 8.2539 2.6571
5.1464 1.4216 0.2480
1.6715 1.3070 1.8391
4.6182 0.5010 2.9636
4.3308 8.4825 0.6754
5.3856 7.4733 9.0032
5.4214 8.5560 4.7818
2.6445 5.7671 5.6976
2.9094 0.9927 10.0215
2.6087 6.8498 1.4762
2.9452 2.0755 3.7635
0.1682 2.6989 6.7159
0.1325 3.7817 0.4579
5.3371 4.8118 3.7602
2.9937 4.7369 8.9999
0.2168 0.0374 1.4795
2.5601 9.5113 6.7192
```

Summary:
The value obtained for the spin magnetization is 0.0 μB/f.u. As for the space-group type: P2_12_12_1, No. 19. The mass density is 5.99 g/cm³.

Which is most stable, and by how much? Q), by 111 meV/atom.

P) The following is a DFT calculation (PBE) of La2TeO6 after structural relaxation.

POSCAR file:
```
La2TeO6
1.0
-4.3429 -1.8295 -3.1111
-0.9589 -5.5648 0.0130
-4.5611 -1.7780 2.8146
O La Te
6 2 1
Cartesian
-5.5173 -5.6715 1.8347
-4.6902 -6.4575 -1.5082
-4.3456 -3.5009 -2.1182
-5.1727 -2.7148 1.2247
-7.0605 -3.9299 -0.8228
-2.8024 -5.2424 0.5393
-7.4230 -6.9032 -0.2134
-2.4399 -2.2691 -0.0701
0.0000 0.0000 0.0000
```

Summary:
The value obtained for the spin magnetization is 0.0 μB/f.u. As for the space-group type: R-3, No. 148. The mass density is 6.09 g/cm³.

Q) The following is a DFT calculation (PBE) of La2TeO6 after structural relaxation.

POSCAR file:
```
La2TeO6
1.0
0.2637 -3.0905 -4.7850
-3.5171 -4.3867 2.6394
-6.7047 4.0737 -2.1637
La O Te
4 12 2
Cartesian
-1.8301 -0.7260 -2.5823
-3.6605 -1.6137 0.8115
-8.1280 -2.6774 -1.7270
-6.2976 -1.7897 -5.1208
-6.3042 -3.5070 -3.4333
-3.6538 0.1036 -0.8760
-2.7985 -2.9666 -2.4127
-3.1639 -4.0986 0.1012
-7.1595 -0.4368 -1.8966
-4.9231 -5.5752 -2.2709
-5.0349 2.1718 -2.0384
-1.4619 -1.9773 -0.2488
-8.4962 -1.4261 -4.0605
-6.7942 0.6952 -4.4105
-5.9164 -2.7169 -0.1053
-4.0417 -0.6865 -4.2039
-3.3523 2.0369 -1.0818
-1.6267 -3.7386 -1.0728
```

Summary:
The value obtained for the spin magnetization is 0.0 μB/f.u. As for the space-group type: P2_1/c, No. 14. The mass density is 5.80 g/cm³.

Which is most stable, and by how much? Q), by 58 meV/atom.

P) The following is a DFT calculation (PBE) of LaTeO4 after structural relaxation.

POSCAR file:
```
LaTeO4
1.0
3.2690 0.0000 1.1376
1.6345 5.2041 0.5688
-0.0759 0.0000 5.4838
La O Te
1 4 1
Cartesian
1.5965 2.6021 3.3107
0.4626 1.0780 1.6942
2.9730 4.1261 5.0116
3.6107 3.7561 2.3980
2.6089 1.4480 5.2768
1.6345 0.0000 0.5688
```

Summary:
The value obtained for the spin magnetization is 0.0 μB/f.u. As for the space-group type: I-4, No. 82. The mass density is 5.85 g/cm³.

Q) The following is a DFT calculation (PBE) of LaTeO4 after structural relaxation.

POSCAR file:
```
LaTeO4
1.0
-3.1297 -3.2013 -3.6007
-3.3052 -1.4016 4.1189
-2.7421 4.9631 -0.5115
Te O La
2 8 2
Cartesian
-3.0236 1.7808 1.8037
-2.9359 0.8809 -2.0561
-4.6661 1.8765 -2.0095
-5.4228 -2.8401 -0.5977
-2.7247 0.5698 0.0590
-4.5108 -1.5163 2.0162
-5.1058 1.2985 2.0203
-3.7541 3.2004 0.6044
-6.4522 -0.2096 -0.0523
-4.0711 -0.9382 -2.0136
-3.2174 -2.3014 0.2591
0.0000 0.0000 0.0000
```

Summary:
The value obtained for the spin magnetization is 0.0 μB/f.u. As for the space-group type: P2_1/c, No. 14. The mass density is 6.23 g/cm³.

Which is most stable, and by how much? Q), by 294 meV/atom.

P) The following is a DFT calculation (PBE) of La2TeO5 after structural relaxation.

POSCAR file:
```
La2TeO5
1.0
5.7260 0.0000 -0.0001
0.0001 5.7259 -0.0001
-2.8628 -2.8628 3.6608
La O Te
2 5 1
Cartesian
2.8631 0.0001 2.0064
0.0002 2.8630 2.0064
1.4307 -1.4302 3.5731
2.8631 2.8631 1.8926
1.4307 1.4306 3.5731
-1.4302 1.4307 3.5731
-1.4303 -1.4303 3.5731
0.0000 0.0000 0.1341
```

Summary:
The value obtained for the spin magnetization is 0.0 μB/f.u. As for the space-group type: I4mm, No. 107. The mass density is 6.72 g/cm³.

Q) The following is a DFT calculation (PBE) of La2TeO5 after structural relaxation.

POSCAR file:
```
La2TeO5
1.0
6.7792 0.0000 -1.5008
0.0000 7.4441 0.0000
0.3284 0.0000 10.2780
La O Te
8 20 4
Cartesian
2.0261 0.9102 9.5374
3.1133 0.9658 5.8552
5.0814 6.5339 -0.7601
3.9943 6.4783 2.9221
1.6918 4.6323 -0.0097
5.4157 2.8118 8.7870
6.5029 2.7562 5.1048
0.6047 4.6879 3.6725
1.9106 3.1980 5.5707
5.3002 0.5240 4.8203
1.8074 6.9201 3.9570
0.3242 5.3632 6.2908
6.7834 2.0810 2.4865
3.9996 0.7952 8.1113
6.4976 4.5172 -0.0844
3.7138 5.8030 5.5404
6.0622 6.8757 1.6079
1.0454 0.5684 7.1694
3.3938 1.6411 3.2369
4.4350 3.1537 6.4190
3.1080 6.6489 0.6660
6.3921 1.1041 -0.5541
4.1050 4.8261 8.5810
2.6726 4.2905 2.3583
0.7154 6.3400 9.3314
3.0025 2.6180 0.1962
5.1970 4.2461 3.2066
0.6100 2.9269 8.8617
3.0097 4.4913 6.7175
6.3993 6.6748 5.9672
0.7082 0.7693 2.8101
4.0978 2.9528 2.0597
```

Summary:
The value obtained for the spin magnetization is 0.0 μB/f.u. As for the space-group type: P2_1/c, No. 14. The mass density is 6.17 g/cm³.

Which is most stable, and by how much? Q), by 288 meV/atom.

P) The following is a DFT calculation (PBE) of La2Th2O7 after structural relaxation.

POSCAR file:
```
La2Th2O7
1.0
6.9961 0.0000 4.0392
2.3320 6.5959 4.0392
0.0000 0.0000 8.0784
O Th La
14 4 4
Cartesian
3.3698 5.1283 10.3201
3.3698 5.1283 5.8366
5.9583 1.4676 10.3201
3.3698 0.1814 5.8366
6.9961 4.9470 12.1175
1.2943 3.1166 2.2417
2.0755 1.4676 8.0784
7.2525 5.1283 8.0784
0.2565 0.1814 4.0392
4.4076 3.1166 4.0392
3.3698 0.1814 2.2417
5.9583 1.4676 5.8366
4.6640 3.2980 8.0784
1.2943 3.1166 5.8366
1.1660 0.8245 6.0588
4.6640 0.8245 4.0392
2.3320 4.1225 4.0392
1.1660 0.8245 2.0196
4.6640 0.8245 8.0784
5.8300 4.1225 10.0979
2.3320 4.1225 8.0784
5.8300 4.1225 6.0588
```

Summary:
The value obtained for the spin magnetization is 0.0 μB/f.u. As for the space-group type: Fd-3m, No. 227. The mass density is 7.61 g/cm³.

Q) The following is a DFT calculation (PBE) of La2Th2O7 after structural relaxation.

POSCAR file:
```
La2Th2O7
1.0
-1.9197 3.4522 0.5728
-2.2486 -0.7164 -3.2189
-7.6836 -5.3614 6.5607
Th O La
2 7 2
Cartesian
-3.8610 -0.2983 2.7636
-5.9068 -3.6952 2.4741
-5.7900 -4.0401 4.9438
-7.7490 -2.5848 3.5138
-4.1030 -0.0408 0.4007
-5.9260 -1.3128 1.9573
-1.8936 -1.3213 1.6169
-2.0842 1.3679 -1.3231
-3.8418 -2.6807 3.2803
-7.5512 -2.8731 5.9144
-2.2166 -1.1204 -0.6768
```

Summary:
The value obtained for the spin magnetization is 0.0 μB/f.u. As for the space-group type: P-4m2, No. 115. The mass density is 7.78 g/cm³.

Which is most stable, and by how much? Q), by 46 meV/atom.